VASP calculation (PBE) on a relaxed structure of Ba2MgN.

Lattice parameters (Å, degrees): 8.1749 8.1749 8.9792 90.00 90.00 90.00
With the nearest neighbours (Å) after each atom.
Space group I-42d (No. 122)
Unique sites:
Ba  0.1412  0.2500  0.1250 x8  2 N 2.60
Mg  0.0000  0.0000  0.5000 x4  8 Ba 3.75-4.10
N  0.0000  0.0000  0.0000 x4  4 Ba 2.60

* crystal system: tetragonal
* offset from the most stable computed form: 103 meV per atom
* raw formation energy: -0.0320 eV/atom
* VASP energy: -3.473 eV per atom

---

VASP calculation (PBE) on a relaxed structure of Sn2PtAu.

Lattice parameters (Å, degrees): 3.7997 3.8146 7.4100 90.22 104.37 119.33
With the nearest neighbours (Å) after each atom.
Space group P-1 (No. 2)
Unique sites:
Sn  0.0148  0.2602  0.2673 x2  3 Pt 2.75-2.76, 3 Au 2.89-2.94
Pt  0.5000  0.0000  0.5000 x1  6 Sn 2.75-2.76
Au  0.5000  0.5000  0.0000 x1  6 Sn 2.89-2.94

* crystal system: triclinic
* formation enthalpy at 0 K: -0.262 eV per atom
* offset from the most stable computed form: 69 meV per atom
* VASP energy: -4.593 eV per atom

---

VASP calculation (PBE) on a relaxed structure of Ac3Ge4Pt4.

Lattice parameters (Å, degrees): 4.4634 4.4869 25.2693 90.00 90.00 90.00
With the nearest neighbours (Å) after each atom.
Space group Immm (No. 71)
Unique sites:
Ac  0.0000  0.0000  0.0000 x2  4 Pt 3.33, 8 Ge 3.42
Ac  0.0000  0.5000  0.1485 x4  6 Ge 3.32-3.41, 8 Pt 3.36-3.44
Ge  0.0000  0.0000  0.4491 x4  2 Pt 2.54, 1 Ge 2.57
Ge  0.0000  0.5000  0.3013 x4  5 Pt 2.55-2.62
Pt  0.0000  0.0000  0.2477 x4  4 Ge 2.55-2.62
Pt  0.0000  0.5000  0.4022 x4  3 Ge 2.54-2.55

* crystal system: orthorhombic
* formation enthalpy at 0 K: -0.990 eV per atom
* VASP energy: -5.986 eV per atom

---

VASP calculation (PBE) on a relaxed structure of Nd4Au.

Lattice parameters (Å, degrees): 12.6977 14.7904 6.7612 90.00 90.00 90.00
With the nearest neighbours (Å) after each atom.
Space group Fdd2 (No. 43)
Unique sites:
Nd  0.0734  0.3907  0.0000 x16  2 Au 3.22-3.27, 3 Nd 3.36-3.50
Nd  0.0778  0.3067  0.4650 x16  2 Au 3.06-3.18, 2 Nd 3.36-3.38
Au  0.0000  0.0000  0.8976 x8  8 Nd 3.06-3.27

* crystal system: orthorhombic
* formation enthalpy at 0 K: -0.226 eV per atom
* offset from the most stable computed form: 0 meV per atom
* VASP energy: -4.696 eV per atom

---

VASP calculation (PBE) on a relaxed structure of CdHgAs2.

Lattice parameters (Å, degrees): 11.9914 3.6086 5.1618 90.00 107.29 90.00
With the nearest neighbours (Å) after each atom.
Space group C2/m (No. 12)
Unique sites:
Cd  0.0000  0.0000  0.0000 x2  2 As 2.72
Hg  0.0000  0.5000  0.5000 x2  2 As 3.13, 4 Cd 3.15
As  0.2375  0.0000  0.1527 x4  2 As 2.47, 1 Cd 2.72

* crystal system: monoclinic
* formation enthalpy at 0 K: 0.022 eV per atom
* offset from the most stable computed form: 0 meV per atom
* VASP energy: -2.607 eV per atom

---

VASP calculation (PBE) on a relaxed structure of LaHOs2.

Lattice parameters (Å, degrees): 8.0025 8.0025 8.0025 90.00 90.00 90.00
With the nearest neighbours (Å) after each atom.
Space group Fd-3m (No. 227, origin choice 2)
Unique sites:
La  0.1250  0.1250  0.1250 x8  12 Os 3.32, 4 H 3.47, 4 La 3.47
H  0.1250  0.1250  0.6250 x8  4 Os 1.73
Os  0.0000  0.0000  0.5000 x16  2 H 1.73

* crystal system: cubic
* offset from the most stable computed form: 0 meV per atom
* VASP energy: -7.533 eV per atom

---

VASP calculation (PBE) on a relaxed structure of Cd2MoIr.

Lattice parameters (Å, degrees): 9.1884 2.8778 5.3816 90.00 97.63 90.00
With the nearest neighbours (Å) after each atom.
Space group Cm (No. 8)
Unique sites:
Cd  0.0000  0.0000  0.0000 x2  5 Cd 2.72-2.90, 2 Ir 2.90, 3 Mo 2.94-3.00
Cd  0.2439  0.0000  0.7642 x2  5 Cd 2.72-2.90, 2 Mo 2.92, 3 Ir 2.97-2.98
Mo  0.2531  0.5000  0.2954 x2  3 Ir 2.65-2.71, 2 Mo 2.88, 3 Cd 2.92-2.94
Ir  0.4962  0.0000  0.4674 x2  3 Mo 2.65-2.71, 2 Ir 2.88, 2 Cd 2.90

* crystal system: monoclinic
* formation enthalpy at 0 K: 0.256 eV per atom
* offset from the most stable computed form: 241 meV per atom
* VASP energy: -5.124 eV per atom

---

VASP calculation (PBE) on a relaxed structure of La2Pr6Al.

Lattice parameters (Å, degrees): 17.8392 9.7948 3.6386 90.00 96.22 90.00
With the nearest neighbours (Å) after each atom.
Space group C2/m (No. 12)
Unique sites:
La  0.1700  0.0000  0.4165 x4  10 Pr 3.63-3.87, 2 La 3.64
Pr  0.0000  0.2215  0.5000 x4  2 Al 3.28, 4 Pr 3.41-3.64
Pr  0.1639  0.3323  0.9733 x8  5 Pr 3.29-3.64, 1 Al 3.36, 1 La 3.63
Al  0.0000  0.5000  0.0000 x2  8 Pr 3.28-3.36, 2 Al 3.64

* crystal system: monoclinic
* formation enthalpy at 0 K: 0.072 eV per atom
* VASP energy: -4.625 eV per atom

---

VASP calculation (PBE) on a relaxed structure of CaMo3.

Lattice parameters (Å, degrees): 9.5721 9.5721 2.6714 90.00 90.00 120.00
With the nearest neighbours (Å) after each atom.
Space group R-3m (No. 166, hexagonal axes)
Unique sites:
Ca  0.0000  0.0000  0.0000 x3  2 Ca 2.67, 6 Mo 2.90
Mo  0.0000  0.5000  0.0000 x9  6 Mo 2.67-2.90, 2 Ca 2.90

* crystal system: trigonal
* formation enthalpy at 0 K: 0.651 eV per atom
* offset from the most stable computed form: 178 meV per atom
* VASP energy: -7.973 eV per atom

---

VASP calculation (PBE) on a relaxed structure of ErSbCl.

Lattice parameters (Å, degrees): 3.8278 3.8278 22.9301 90.00 90.00 120.00
With the nearest neighbours (Å) after each atom.
Space group R3m (No. 160, hexagonal axes)
Unique sites:
Er  0.0000  0.0000  0.0000 x3  3 Cl 2.73
Sb  0.0000  0.0000  0.2401 x3  3 Er 3.08
Cl  0.0000  0.0000  0.7369 x3  3 Er 2.73

* crystal system: trigonal
* offset from the most stable computed form: 0 meV per atom
* raw formation energy: -1.1430 eV/atom
* VASP energy: -4.654 eV per atom

---

VASP calculation (PBE) on a relaxed structure of Ba2CrTcI.

Lattice parameters (Å, degrees): 6.5178 6.5178 4.9842 90.00 90.00 90.00
With the nearest neighbours (Å) after each atom.
Space group P4/mmm (No. 123)
Unique sites:
Ba  0.0000  0.5000  0.0000 x2  2 I 3.26
Cr  0.0000  0.0000  0.5000 x1  8 Ba 4.10
Tc  0.5000  0.5000  0.5000 x1  2 I 2.49
I  0.5000  0.5000  0.0000 x1  2 Tc 2.49

* crystal system: tetragonal
* raw formation energy: 1.3214 eV/atom
* VASP energy: -3.756 eV per atom

---

VASP calculation (PBE) on a relaxed structure of CeGeBRh3.

Lattice parameters (Å, degrees): 5.6984 12.1910 5.7882 90.00 90.00 90.00
With the nearest neighbours (Å) after each atom.
Space group Cmcm (No. 63)
Unique sites:
Ce  0.0000  0.2380  0.2500 x4  4 Rh 2.93-3.05, 2 Ge 3.23
Ge  0.0000  0.1213  0.7500 x4  5 Rh 2.39-2.51
B  0.0000  0.4893  0.7500 x4  5 Rh 2.04-2.10
Rh  0.0000  0.3172  0.7500 x4  1 B 2.10
Rh  0.2483  0.0000  0.0000 x8  2 B 2.04

* crystal system: orthorhombic
* formation enthalpy at 0 K: -0.686 eV per atom
* VASP energy: -7.233 eV per atom

---

VASP calculation (PBE) on a relaxed structure of YAl4Fe.

Lattice parameters (Å, degrees): 7.5547 7.5547 7.5547 90.00 90.00 90.00
With the nearest neighbours (Å) after each atom.
Space group F-43m (No. 216)
Unique sites:
Y  0.0000  0.0000  0.0000 x4  12 Al 3.13, 4 Fe 3.27
Al  0.1250  0.1250  0.6250 x16  6 Al 2.67
Fe  0.2500  0.2500  0.2500 x4  12 Al 3.13, 4 Y 3.27

* crystal system: cubic
* formation enthalpy at 0 K: -0.075 eV per atom
* VASP energy: -5.058 eV per atom

---

VASP calculation (PBE) on a relaxed structure of VBiRh3.

Lattice parameters (Å, degrees): 4.5730 4.5730 4.5730 90.00 90.00 90.00
With the nearest neighbours (Å) after each atom.
Space group Pm-3m (No. 221)
Unique sites:
V  0.0000  0.0000  0.0000 x1  6 Rh 2.29
Bi  0.5000  0.5000  0.5000 x1  12 Rh 3.23
Rh  0.0000  0.0000  0.5000 x3  2 V 2.29

* crystal system: cubic
* formation enthalpy at 0 K: 0.466 eV per atom
* offset from the most stable computed form: 0 meV per atom
* VASP energy: -6.545 eV per atom

---

VASP calculation (PBE) on a relaxed structure of CsLiTbCl6.

Lattice parameters (Å, degrees): 6.1468 7.1270 7.7187 87.43 82.41 65.15
With the nearest neighbours (Å) after each atom.
Space group P1 (No. 1)
Unique sites:
Cs  0.0000  0.0000  0.0000 x1  6 Cl 3.57-3.64
Li  0.6261  0.7446  0.4963 x1  4 Cl 2.47-2.60
Tb  0.3450  0.3271  0.5075 x1  6 Cl 2.63-2.72
Cl  0.0289  0.6018  0.3109 x1  1 Li 2.51, 1 Tb 2.69
Cl  0.3732  0.0227  0.3118 x1  1 Li 2.47, 1 Tb 2.63
Cl  0.4289  0.5688  0.7283 x1  1 Li 2.60, 1 Tb 2.72
Cl  0.5994  0.0147  0.6981 x1  1 Li 2.47, 1 Tb 2.64
Cl  0.6285  0.4407  0.2843 x1  1 Tb 2.63, 1 Li 2.77
Cl  0.9650  0.4575  0.7543 x1  1 Tb 2.67

* crystal system: triclinic
* raw formation energy: -1.7792 eV/atom
* VASP energy: -3.832 eV per atom

---

VASP calculation (PBE) on a relaxed structure of DyGeBi.

Lattice parameters (Å, degrees): 4.4958 16.3898 4.1950 90.00 90.00 90.00
With the nearest neighbours (Å) after each atom.
Space group Cmcm (No. 63)
Unique sites:
Dy  0.0000  0.0930  0.2500 x4  6 Ge 3.15-3.27, 4 Bi 3.35-3.39
Ge  0.0000  0.4484  0.2500 x4  2 Ge 2.69
Bi  0.0000  0.2525  0.7500 x4  4 Bi 3.08, 4 Dy 3.35-3.39

* crystal system: orthorhombic
* formation enthalpy at 0 K: -0.567 eV per atom
* offset from the most stable computed form: 0 meV per atom
* VASP energy: -4.933 eV per atom

---

VASP calculation (PBE) on a relaxed structure of SrSc4Pt.

Lattice parameters (Å, degrees): 8.4314 8.4314 8.4314 90.00 90.00 90.00
With the nearest neighbours (Å) after each atom.
Space group F-43m (No. 216)
Unique sites:
Sr  0.0000  0.0000  0.0000 x4  12 Sc 3.50, 4 Pt 3.65
Sc  0.1231  0.1231  0.3769 x16  6 Sc 2.93-3.03
Pt  0.2500  0.2500  0.7500 x4  12 Sc 3.49, 4 Sr 3.65

* crystal system: cubic
* formation enthalpy at 0 K: 0.274 eV per atom
* VASP energy: -5.234 eV per atom

---

VASP calculation (PBE) on a relaxed structure of NiAu2S.

Lattice parameters (Å, degrees): 7.2059 7.2059 5.2722 90.00 90.00 90.00
With the nearest neighbours (Å) after each atom.
Space group I-42d (No. 122)
Unique sites:
Ni  0.0000  0.0000  0.0000 x4  2 S 2.64, 4 Au 2.65
Au  0.2466  0.7500  0.6250 x8  2 S 2.61, 2 Au 2.64, 2 Ni 2.65
S  0.0000  0.0000  0.5000 x4  4 Au 2.61, 2 Ni 2.64

* crystal system: tetragonal
* raw formation energy: 0.3904 eV/atom
* VASP energy: -3.725 eV per atom

---

VASP calculation (PBE) on a relaxed structure of MgMoAsBr2.

Lattice parameters (Å, degrees): 5.2762 5.2762 4.9556 90.00 90.00 90.00
With the nearest neighbours (Å) after each atom.
Space group P4/mmm (No. 123)
Unique sites:
Mg  0.0000  0.0000  0.0000 x1  8 Br 3.62, 4 As 3.73
Mo  0.5000  0.5000  0.5000 x1  2 As 2.48, 4 Br 2.64
As  0.5000  0.5000  0.0000 x1  2 Mo 2.48
Br  0.0000  0.5000  0.5000 x2  2 Mo 2.64

* crystal system: tetragonal
* offset from the most stable computed form: 0 meV per atom
* raw formation energy: 0.1619 eV/atom
* VASP energy: -3.922 eV per atom

---

VASP calculation (PBE) on a relaxed structure of TlCdI2O.

Lattice parameters (Å, degrees): 6.1620 6.1620 4.2520 90.00 90.00 90.00
With the nearest neighbours (Å) after each atom.
Space group P4/mmm (No. 123)
Unique sites:
Tl  0.0000  0.0000  0.0000 x1  8 I 3.74
Cd  0.5000  0.5000  0.5000 x1  2 O 2.13
I  0.0000  0.5000  0.5000 x2  2 Cd 3.08
O  0.5000  0.5000  0.0000 x1  2 Cd 2.13

* crystal system: tetragonal
* offset from the most stable computed form: 0 meV per atom
* raw formation energy: -0.3315 eV/atom
* VASP energy: -2.599 eV per atom

---

VASP calculation (PBE) on a relaxed structure of Ca6MgTl.

Lattice parameters (Å, degrees): 6.5870 6.5894 6.5896 89.95 89.67 89.99
With the nearest neighbours (Å) after each atom.
Space group P-1 (No. 2)
Unique sites:
Ca  0.9997  0.2482  0.9996 x2  2 Ca 3.27-3.32
Ca  0.2480  0.4989  0.5002 x2  2 Ca 3.27-3.32
Ca  0.4971  0.0006  0.2518 x2  2 Ca 3.27-3.32, 1 Tl 3.65
Mg  0.5000  0.5000  0.0000 x1  12 Ca 3.68-3.70
Tl  0.0000  0.0000  0.5000 x1  12 Ca 3.65-3.70

* crystal system: triclinic
* formation enthalpy at 0 K: -0.031 eV per atom
* offset from the most stable computed form: 109 meV per atom
* VASP energy: -2.028 eV per atom

---

VASP calculation (PBE) on a relaxed structure of Ce2NpSe6.

Lattice parameters (Å, degrees): 7.7171 7.7171 4.1869 90.00 90.00 120.00
With the nearest neighbours (Å) after each atom.
Space group P-62m (No. 189)
Unique sites:
Ce  0.3333  0.6667  0.0000 x2  9 Se 2.92-3.15
Np  0.0000  0.0000  0.5000 x1  9 Se 2.87-3.11
Se  0.0000  0.2550  0.0000 x3  2 Np 2.87, 2 Ce 2.92
Se  0.0000  0.5970  0.5000 x3  1 Np 3.11, 4 Ce 3.15, 6 Se 3.37-3.44

* crystal system: hexagonal
* raw formation energy: -1.3988 eV/atom
* VASP energy: -6.478 eV per atom

---

VASP calculation (PBE) on a relaxed structure of LiUHg2S6.

Lattice parameters (Å, degrees): 6.3293 6.5178 7.0958 66.98 65.70 65.48
With the nearest neighbours (Å) after each atom.
Space group P1 (No. 1)
Unique sites:
Li  0.0000  0.0000  0.0000 x1  5 S 2.53-2.73
U  0.4719  0.5094  0.5425 x1  6 S 2.55-2.64
Hg  0.2544  0.3163  0.1222 x1  4 S 2.48-2.76
Hg  0.7889  0.8469  0.5683 x1  4 S 2.51-2.78
S  0.0975  0.3842  0.8169 x1  1 Li 2.53, 1 Hg 2.56, 1 U 2.58
S  0.2084  0.8728  0.3138 x1  2 Hg 2.56-2.75, 1 U 2.64, 1 Li 2.73
S  0.4035  0.7412  0.7921 x1  1 Hg 2.51, 1 U 2.55, 1 Li 2.61
S  0.5523  0.2868  0.2813 x1  1 Hg 2.48, 1 U 2.55
S  0.7483  0.1555  0.7427 x1  1 Li 2.55, 1 U 2.56, 1 Hg 2.63
S  0.8312  0.6524  0.2636 x1  1 U 2.56, 1 Li 2.61, 2 Hg 2.76-2.78

* crystal system: triclinic
* raw formation energy: -0.5211 eV/atom
* VASP energy: -4.378 eV per atom

---

VASP calculation (PBE) on a relaxed structure of MnAlRe3.

Lattice parameters (Å, degrees): 4.4166 4.4166 4.4166 90.00 90.00 90.00
With the nearest neighbours (Å) after each atom.
Space group Pm-3m (No. 221)
Unique sites:
Mn  0.0000  0.0000  0.0000 x1  6 Re 2.21
Al  0.5000  0.5000  0.5000 x1  12 Re 3.12
Re  0.0000  0.0000  0.5000 x3  2 Mn 2.21

* crystal system: cubic
* formation enthalpy at 0 K: 1.396 eV per atom
* offset from the most stable computed form: 0 meV per atom
* VASP energy: -8.655 eV per atom

---

VASP calculation (PBE) on a relaxed structure of TbThZnRh.

Lattice parameters (Å, degrees): 7.1397 7.1397 7.1397 90.00 90.00 90.00
With the nearest neighbours (Å) after each atom.
Space group F-43m (No. 216)
Unique sites:
Tb  0.0000  0.0000  0.0000 x4  4 Rh 3.09, 4 Zn 3.09
Th  0.0000  0.0000  0.5000 x4  4 Zn 3.09, 4 Rh 3.09
Zn  0.2500  0.2500  0.7500 x4  4 Tb 3.09, 4 Th 3.09
Rh  0.2500  0.2500  0.2500 x4  4 Tb 3.09, 4 Th 3.09

* crystal system: cubic
* formation enthalpy at 0 K: -0.490 eV per atom
* VASP energy: -5.658 eV per atom

---

VASP calculation (PBE) on a relaxed structure of Ce2GaOsAu.

Lattice parameters (Å, degrees): 7.4814 4.1459 7.7831 90.00 110.79 90.00
With the nearest neighbours (Å) after each atom.
Space group P2_1/m (No. 11)
Unique sites:
Ce  0.0264  0.2500  0.2158 x2  3 Os 2.79-3.04, 2 Au 3.09
Ce  0.3574  0.7500  0.6183 x2  2 Os 2.78
Ga  0.3532  0.2500  0.9560 x2  1 Os 2.54, 2 Au 2.80
Os  0.1146  0.2500  0.6281 x2  1 Ga 2.54, 4 Ce 2.78-2.79
Au  0.3205  0.7500  0.1854 x2  3 Ga 2.80-3.01, 4 Ce 3.09-3.13

* crystal system: monoclinic
* formation enthalpy at 0 K: -0.484 eV per atom
* VASP energy: -6.365 eV per atom